A relaxed ThGa2Rh4 crystal, computed with PBE-GGA.

Values from the calculation:
Calculated total energy in eV/atom: -6.766

a b c (Å): 3.9656 7.7495 7.7495
angles (deg): 90.00 90.00 90.00
Last column: nearest neighbours and their distance in Å.
Sites, in units of the cell vectors:
1 Th 0.5000 0.0000 0.0000  6 Ga 3.02-3.16, 8 Rh 3.36
2 Th 0.0000 0.5000 0.5000  6 Ga 3.02-3.16, 8 Rh 3.36
3 Ga 0.0000 0.2247 0.7753  6 Rh 2.51-2.56
4 Ga 0.0000 0.7753 0.2247  6 Rh 2.51-2.56
5 Ga 0.5000 0.7247 0.7247  6 Rh 2.51-2.56
6 Ga 0.5000 0.2753 0.2753  6 Rh 2.51-2.56
7 Rh 0.0000 0.0776 0.3419  3 Ga 2.51-2.56, 5 Rh 2.73-2.77
8 Rh 0.0000 0.9224 0.6581  3 Ga 2.51-2.56, 5 Rh 2.73-2.77
9 Rh 0.5000 0.1581 0.5776  3 Ga 2.51-2.56, 5 Rh 2.73-2.77
10 Rh 0.5000 0.8419 0.4224  3 Ga 2.51-2.56, 5 Rh 2.73-2.77
11 Rh 0.5000 0.4224 0.8419  3 Ga 2.51-2.56, 5 Rh 2.73-2.77
12 Rh 0.5000 0.5776 0.1581  3 Ga 2.51-2.56, 5 Rh 2.73-2.77
13 Rh 0.0000 0.3419 0.0776  3 Ga 2.51-2.56, 5 Rh 2.73-2.77
14 Rh 0.0000 0.6581 0.9224  3 Ga 2.51-2.56, 5 Rh 2.73-2.77